No. 1
Y3CdN, optimized geometry, DFT PBE-GGA; crystal system = cubic
1.0
4.842 0.000 0.000
0.000 4.842 0.000
0.000 0.000 4.842
Y Cd N
3 1 1
Direct
0.000 0.000 0.500
0.000 0.500 0.000
0.500 0.000 0.000
0.500 0.500 0.500
0.000 0.000 0.000

No. 2
YCd2N, optimized geometry, DFT PBE-GGA; crystal system = tetragonal
1.0
-4.125 4.125 2.394
4.125 -4.125 2.394
4.125 4.125 -2.394
Y Cd N
2 4 2
Direct
0.000 0.000 0.000
0.750 0.250 0.500
0.208 0.625 0.083
0.375 0.458 0.583
0.542 0.125 0.917
0.875 0.792 0.417
0.250 0.750 0.500
0.500 0.500 0.000

No. 3
Y3CdN, optimized geometry, DFT PBE-GGA; crystal system = cubic
1.0
0.000 6.468 6.468
6.468 0.000 6.468
6.468 6.468 0.000
Y Cd N
12 4 4
Direct
0.061 0.061 0.689
0.061 0.689 0.061
0.061 0.689 0.689
0.311 0.311 0.939
0.311 0.939 0.311
0.311 0.939 0.939
0.689 0.061 0.061
0.689 0.061 0.689
0.689 0.689 0.061
0.939 0.311 0.311
0.939 0.311 0.939
0.939 0.939 0.311
0.000 0.500 0.500
0.500 0.000 0.500
0.500 0.500 0.000
0.500 0.500 0.500
0.000 0.000 0.000
0.000 0.000 0.500
0.000 0.500 0.000
0.500 0.000 0.000

No. 4
Y2Cd3N4, optimized geometry, DFT PBE-GGA; crystal system = monoclinic
1.0
5.717 -4.912 0.000
5.717 4.912 0.000
-0.334 0.000 4.927
Y Cd N
4 6 8
Direct
0.021 0.759 0.980
0.241 0.979 0.520
0.759 0.021 0.480
0.979 0.241 0.020
0.183 0.415 0.562
0.403 0.597 0.250
0.415 0.183 0.062
0.585 0.817 0.938
0.597 0.403 0.750
0.817 0.585 0.438
0.022 0.783 0.495
0.209 0.457 0.033
0.217 0.978 0.005
0.457 0.209 0.533
0.543 0.791 0.467
0.783 0.022 0.995
0.791 0.543 0.967
0.978 0.217 0.505

No. 5
Y3CdN, optimized geometry, DFT PBE-GGA; crystal system = orthorhombic
1.0
8.432 0.000 0.000
0.000 3.707 0.000
0.000 0.000 8.362
Y Cd N
6 2 2
Direct
0.043 0.000 0.207
0.250 0.500 0.519
0.457 0.000 0.207
0.543 0.000 0.793
0.750 0.500 0.481
0.957 0.000 0.793
0.250 0.500 0.929
0.750 0.500 0.071
0.250 0.000 0.368
0.750 0.000 0.632

No. 6
Y3CdN, optimized geometry, DFT PBE-GGA; crystal system = orthorhombic
1.0
3.379 0.000 0.000
0.000 3.407 7.896
0.000 -3.407 7.896
Y Cd N
3 1 1
Direct
0.000 0.000 0.000
0.500 0.072 0.604
0.500 0.604 0.072
0.500 0.174 0.174
0.000 0.846 0.846

No. 7
Y3CdN, optimized geometry, DFT PBE-GGA; crystal system = orthorhombic
1.0
-2.420 2.420 9.781
2.420 -2.420 9.781
2.420 2.420 -9.781
Y Cd N
6 2 2
Direct
0.060 0.810 0.250
0.178 0.428 0.750
0.309 0.059 0.250
0.691 0.941 0.750
0.822 0.572 0.250
0.940 0.190 0.750
0.443 0.693 0.750
0.557 0.307 0.250
0.180 0.930 0.250
0.820 0.070 0.750

No. 8
Y3CdN, optimized geometry, DFT PBE-GGA; crystal system = tetragonal
1.0
-3.347 3.347 5.966
3.347 -3.347 5.966
3.347 3.347 -5.966
Y Cd N
6 2 2
Direct
0.129 0.129 0.000
0.364 0.617 0.748
0.383 0.131 0.748
0.383 0.636 0.252
0.869 0.617 0.252
0.871 0.871 0.000
0.627 0.127 0.500
0.873 0.373 0.500
0.250 0.750 0.500
0.500 0.500 0.000

No. 9
Y3CdN, optimized geometry, DFT PBE-GGA; crystal system = tetragonal
1.0
-2.602 2.602 11.927
2.602 -2.602 11.927
2.602 2.602 -11.927
Y Cd N
6 2 2
Direct
0.193 0.193 0.000
0.373 0.135 0.763
0.373 0.610 0.237
0.390 0.627 0.763
0.807 0.807 0.000
0.865 0.627 0.237
0.250 0.750 0.500
0.500 0.500 0.000
0.652 0.152 0.500
0.848 0.348 0.500

No. 10
Y3CdN, optimized geometry, DFT PBE-GGA; crystal system = hexagonal
1.0
3.980 0.000 0.000
-1.990 3.447 0.000
0.000 0.000 18.701
Y Cd N
6 2 2
Direct
0.000 0.000 0.250
0.000 0.000 0.750
0.333 0.667 0.120
0.333 0.667 0.380
0.667 0.333 0.620
0.667 0.333 0.880
0.000 0.000 0.000
0.000 0.000 0.500
0.333 0.667 0.250
0.667 0.333 0.750

No. 11
Y2CdN, optimized geometry, DFT PBE-GGA; relative energy among the computed polymorphs = 191.8 meV per atom; crystal system = tetragonal
1.0
-3.434 3.434 4.114
3.434 -3.434 4.114
3.434 3.434 -4.114
Y Cd N
4 2 2
Direct
0.024 0.625 0.899
0.375 0.274 0.399
0.726 0.125 0.101
0.875 0.976 0.601
0.250 0.750 0.500
0.500 0.500 0.000
0.000 0.000 0.000
0.750 0.250 0.500

No. 12
Y3CdN, optimized geometry, DFT PBE-GGA; crystal system = trigonal
1.0
3.618 2.089 2.913
-3.618 2.089 2.913
0.000 -4.178 2.913
Y Cd N
3 1 1
Direct
0.007 0.497 0.497
0.497 0.007 0.497
0.497 0.497 0.007
0.988 0.988 0.988
0.263 0.263 0.263

Results for energy relative to the elements, uncorrected: -867 -87 -457 -325 -663 -128 -786 -393 832 -592 -737 -408 (in meV per atom, following the order of the records).